# 1
## NbTcHIr2 (GGA-PBE)

Data for NbTcHIr2 after structural relaxation. Values from VASP.

Output
DFT total energy   -8.608 eV/atom
Crystal system   tetragonal
N(E_F)   2.96 states/eV per cell

Structure (Quantum ESPRESSO input):
```
&SYSTEM
  ibrav = 0, nat = 5, ntyp = 4
/
ATOMIC_SPECIES
Ir 192.22 Ir.upf
Tc 98.00 Tc.upf
Nb 92.91 Nb.upf
H 1.01 H.upf
CELL_PARAMETERS angstrom
3.9499 0.0000 0.0000
0.0000 3.9499 0.0000
0.0000 0.0000 4.0410
ATOMIC_POSITIONS crystal
Ir 0.0000 0.5000 0.0000
Ir 0.5000 0.0000 0.0000
Tc 0.0000 0.0000 0.5000
Nb 0.5000 0.5000 0.5000
H 0.0000 0.0000 0.0000
```


# 2
## Sc2TeP (GGA-PBE)

Data for Sc2TeP after structural relaxation. Values from VASP.

Output
Energy relative to the elements, uncorrected   -379 kJ/mol of formula units
DFT total energy   -6.286 eV/atom
Crystal system   monoclinic
N(E_F)   2.69 states/eV per cell

Structure (Quantum ESPRESSO input):
```
&SYSTEM
  ibrav = 0, nat = 4, ntyp = 3
/
ATOMIC_SPECIES
Sc 44.96 Sc.upf
P 30.97 P.upf
Te 127.60 Te.upf
CELL_PARAMETERS angstrom
-2.6149 1.9619 1.5179
-2.0168 -0.4395 -2.9062
-3.5856 -5.7950 1.3131
ATOMIC_POSITIONS crystal
Sc 0.0000 0.8962 0.2772
P 0.5000 0.5000 0.5000
Te 0.5000 0.5000 0.0000
Sc 0.0000 0.1038 0.7228
```


# 3
## Ru2SF (GGA-PBE)

Data for Ru2SF after structural relaxation. Values from VASP.

Output
Energy relative to the elements, uncorrected   0 kJ/mol of formula units
DFT total energy   -6.138 eV/atom
Crystal system   tetragonal
N(E_F)   1.33 states/eV per cell

Structure (Quantum ESPRESSO input):
```
&SYSTEM
  ibrav = 0, nat = 8, ntyp = 3
/
ATOMIC_SPECIES
F 19.00 F.upf
Ru 101.07 Ru.upf
S 32.06 S.upf
CELL_PARAMETERS angstrom
5.2814 0.0000 0.0000
0.0000 5.2814 0.0000
2.6407 2.6407 4.8069
ATOMIC_POSITIONS crystal
F 0.5000 0.5000 0.0000
Ru 0.6501 0.1250 0.2500
Ru 0.0999 0.6250 0.2500
F 0.2500 0.7500 0.5000
S 0.0000 0.0000 0.0000
Ru 0.3750 0.3499 0.7500
S 0.7500 0.2500 0.5000
Ru 0.8750 0.9001 0.7500
```


# 4
## Ca2BC (GGA-PBE)

Data for Ca2BC after structural relaxation. Values from VASP.

Output
DFT total energy   -4.047 eV/atom
Formation energy from the elements   89.6 kJ per mole of atoms
Crystal system   cubic
N(E_F)   2.77 states/eV per cell

Structure (Quantum ESPRESSO input):
```
&SYSTEM
  ibrav = 0, nat = 4, ntyp = 3
/
ATOMIC_SPECIES
Ca 40.08 Ca.upf
C 12.01 C.upf
B 10.81 B.upf
CELL_PARAMETERS angstrom
-0.7129 -4.2702 -1.2951
-1.4508 -3.0571 2.9948
-4.2155 -1.6050 -0.2713
ATOMIC_POSITIONS crystal
Ca 0.2500 0.2500 0.2500
C 0.5000 0.5000 0.5000
B 0.0000 0.0000 0.0000
Ca 0.7500 0.7500 0.7500
```